A relaxed Nd3Ni crystal. Source: Alexandria via LeMat-Bulk, functional GGA-PBEsol.

Properties
- ΔE_f (meV/atom) = -160

The structure in POSCAR format:
```
Nd3Ni
1.0
-1.564 3.087 -5.356
-6.645 -0.018 1.931
1.301 8.568 4.558
Nd Ni
12 4
Direct
0.327 0.676 0.066 Nd
0.173 0.176 0.434 Nd
0.673 0.324 0.566 Nd
0.827 0.824 0.934 Nd
0.673 0.324 0.934 Nd
0.827 0.824 0.566 Nd
0.327 0.676 0.434 Nd
0.173 0.176 0.066 Nd
0.857 0.533 0.250 Nd
0.643 0.033 0.250 Nd
0.143 0.467 0.750 Nd
0.357 0.967 0.750 Nd
0.070 0.886 0.250 Ni
0.430 0.386 0.250 Ni
0.930 0.114 0.750 Ni
0.570 0.614 0.750 Ni
```

A relaxed KIn3Ru crystal. Source: Alexandria via LeMat-Bulk, functional GGA-PBEsol.

Properties
- ΔE_f (meV/atom) = -95
- ΔE to the lowest computed polymorph (meV/atom) = 0

The structure in POSCAR format:
```
KIn3Ru
1.0
-3.920 -2.569 -2.131
3.010 -4.141 -0.545
-1.442 -1.661 4.655
Ru K In
1 1 3
Direct
0.000 0.000 0.000 Ru
0.500 0.500 0.500 K
0.000 0.500 0.000 In
0.000 0.000 0.500 In
0.500 0.000 0.000 In
```

A relaxed K3HfTc crystal. Source: Alexandria via LeMat-Bulk, functional GGA-PBEsol.

Properties
- ΔE_f (meV/atom) = 2478

The structure in POSCAR format:
```
K3HfTc
1.0
6.496 0.000 0.000
0.000 6.496 0.000
0.000 0.000 6.496
K Hf Tc
3 1 1
Direct
0.000 0.500 0.000 K
0.000 0.000 0.500 K
0.500 0.000 0.000 K
0.000 0.000 0.000 Hf
0.500 0.500 0.500 Tc
```

A relaxed Co2HgPbI crystal. Source: Alexandria via LeMat-Bulk, functional GGA-PBEsol.

Properties
- energy relative to the elements, uncorrected (eV per atom) = 1.1370

The structure in POSCAR format:
```
Co2HgPbI
1.0
4.569 0.000 0.000
0.000 4.569 0.000
0.000 0.000 6.052
Pb I Co Hg
1 1 2 1
Direct
0.500 0.500 0.500 Pb
0.000 0.000 0.000 I
0.000 0.500 0.000 Co
0.500 0.000 0.000 Co
0.000 0.000 0.500 Hg
```

A relaxed Mg2ZrAlTl crystal. Source: Alexandria via LeMat-Bulk, functional GGA-PBEsol.

Properties
- ΔE_f (meV/atom) = 696

The structure in POSCAR format:
```
Mg2ZrAlTl
1.0
5.004 0.000 0.000
0.000 5.004 0.000
0.000 0.000 5.514
Mg Tl Al Zr
2 1 1 1
Direct
0.000 0.500 0.000 Mg
0.500 0.000 0.000 Mg
0.000 0.000 0.000 Tl
0.500 0.500 0.500 Al
0.000 0.000 0.500 Zr
```

A relaxed NbIr3Br crystal. Source: Alexandria via LeMat-Bulk, functional GGA-PBEsol.

Properties
- energy relative to the elements, uncorrected (eV per atom) = 1.9732

The structure in POSCAR format:
```
NbIr3Br
1.0
4.773 0.000 0.000
0.000 4.773 0.000
0.000 0.000 4.773
Nb Ir Br
1 3 1
Direct
0.000 0.000 0.000 Nb
0.000 0.500 0.000 Ir
0.000 0.000 0.500 Ir
0.500 0.000 0.000 Ir
0.500 0.500 0.500 Br
```

For each record above, in turn, the calculated DFT total energy values are -5.574 -4.146 -2.556 -3.224 -3.154 -6.459 eV/atom.